A plane-wave DFT calculation with PBE was carried out for an optimized crystal structure of CoAgSb2I.

- raw formation energy (eV/atom) = 1.216
- size of the total moment (μB per cell) = 1.57
- E_tot (eV/cell) = -13.67
- DOS at the Fermi energy (states/eV/cell) = 7.6

Cell: 5.3594 5.3594 5.6453 Å, 90.00 90.00 90.00°
With the nearest neighbours (Å) after each atom.
Space group P4/mmm (No. 123)
Asymmetric unit:
1 Co 0.0000 0.0000 0.0000 x1  4 I 3.79, 8 Sb 3.89
2 Ag 0.5000 0.5000 0.5000 x1  4 Sb 2.68, 2 I 2.82
3 Sb 0.0000 0.5000 0.5000 x2  2 Ag 2.68
4 I 0.5000 0.5000 0.0000 x1  2 Ag 2.82

=====

A plane-wave DFT calculation with PBE was carried out for an optimized crystal structure of CoAgSbI2.

- raw formation energy (eV/atom) = 0.435
- size of the total moment (μB per cell) = 0.00
- E_tot (eV/cell) = -15.00
- DOS at the Fermi energy (states/eV/cell) = 3.1

Cell: 5.4910 5.4910 4.7289 Å, 90.00 90.00 90.00°
With the nearest neighbours (Å) after each atom.
Space group P4/mmm (No. 123)
Asymmetric unit:
1 Co 0.0000 0.0000 0.0000 x1  2 Sb 2.36
2 Ag 0.5000 0.5000 0.5000 x1  8 I 3.62, 4 Sb 3.88
3 Sb 0.0000 0.0000 0.5000 x1  2 Co 2.36
4 I 0.0000 0.5000 0.0000 x2  2 Co 2.75

=====

A plane-wave DFT calculation with PBE was carried out for an optimized crystal structure of CoAgSb2I.

- raw formation energy (eV/atom) = 0.446
- size of the total moment (μB per cell) = 0.00
- E_tot (eV/cell) = -17.52
- DOS at the Fermi energy (states/eV/cell) = 3.2

Cell: 4.8470 4.8470 5.7218 Å, 90.00 90.00 90.00°
With the nearest neighbours (Å) after each atom.
Space group P4/mmm (No. 123)
Asymmetric unit:
1 Co 0.0000 0.0000 0.0000 x1  4 Sb 2.42
2 Ag 0.5000 0.5000 0.5000 x1  4 I 3.43, 8 Sb 3.75
3 Sb 0.0000 0.5000 0.0000 x2  2 Co 2.42
4 I 0.0000 0.0000 0.5000 x1  2 Co 2.86

=====

A plane-wave DFT calculation with PBE was carried out for an optimized crystal structure of CoAgSbI2.

- raw formation energy (eV/atom) = 1.064
- size of the total moment (μB per cell) = 1.72
- E_tot (eV/cell) = -11.86
- DOS at the Fermi energy (states/eV/cell) = 7.7

Cell: 5.6753 5.6753 5.4588 Å, 90.00 90.00 90.00°
With the nearest neighbours (Å) after each atom.
Space group P4/mmm (No. 123)
Asymmetric unit:
1 Co 0.0000 0.0000 0.0000 x1  8 I 3.94, 4 Sb 4.01
2 Ag 0.5000 0.5000 0.5000 x1  2 Sb 2.73, 4 I 2.84
3 Sb 0.5000 0.5000 0.0000 x1  2 Ag 2.73
4 I 0.0000 0.5000 0.5000 x2  2 Ag 2.84

=====

A plane-wave DFT calculation with PBE was carried out for an optimized crystal structure of Sc2CoAgI.

- raw formation energy (eV/atom) = 1.043
- size of the total moment (μB per cell) = 1.79
- E_tot (eV/cell) = -18.96
- DOS at the Fermi energy (states/eV/cell) = 5.1

Cell: 5.2704 5.2704 5.0919 Å, 90.00 90.00 90.00°
With the nearest neighbours (Å) after each atom.
Space group P4/mmm (No. 123)
Asymmetric unit:
1 Sc 0.0000 0.5000 0.0000 x2  2 I 2.64
2 Co 0.0000 0.0000 0.5000 x1  8 Sc 3.66, 4 Ag 3.73
3 Ag 0.5000 0.5000 0.5000 x1  2 I 2.55
4 I 0.5000 0.5000 0.0000 x1  2 Ag 2.55, 4 Sc 2.64

=====

A plane-wave DFT calculation with PBE was carried out for an optimized crystal structure of CoAgTe2I.

- raw formation energy (eV/atom) = 0.443
- size of the total moment (μB per cell) = 1.78
- E_tot (eV/cell) = -15.58
- DOS at the Fermi energy (states/eV/cell) = 5.1

Cell: 4.9408 4.9408 5.8385 Å, 90.00 90.00 90.00°
With the nearest neighbours (Å) after each atom.
Space group P4/mmm (No. 123)
Asymmetric unit:
1 Co 0.0000 0.0000 0.0000 x1  4 Te 2.47
2 Ag 0.5000 0.5000 0.5000 x1  4 I 3.49, 8 Te 3.82
3 Te 0.0000 0.5000 0.0000 x2  2 Co 2.47
4 I 0.0000 0.0000 0.5000 x1  2 Co 2.92

=====

A plane-wave DFT calculation with PBE was carried out for an optimized crystal structure of CoAgTeI2.

- raw formation energy (eV/atom) = 0.666
- size of the total moment (μB per cell) = 1.71
- E_tot (eV/cell) = -12.87
- DOS at the Fermi energy (states/eV/cell) = 4.1

Cell: 6.3239 6.3239 4.6914 Å, 90.00 90.00 90.00°
With the nearest neighbours (Å) after each atom.
Space group P4/mmm (No. 123)
Asymmetric unit:
1 Co 0.0000 0.0000 0.0000 x1  2 Te 2.35
2 Ag 0.5000 0.5000 0.0000 x1  8 I 3.94
3 Te 0.0000 0.0000 0.5000 x1  2 Co 2.35
4 I 0.0000 0.5000 0.5000 x2  2 Te 3.16

=====

A plane-wave DFT calculation with PBE was carried out for an optimized crystal structure of CoAgTeI2.

- raw formation energy (eV/atom) = 0.406
- size of the total moment (μB per cell) = 0.48
- E_tot (eV/cell) = -14.17
- DOS at the Fermi energy (states/eV/cell) = 4.3

Cell: 5.5210 5.5210 4.7891 Å, 90.00 90.00 90.00°
With the nearest neighbours (Å) after each atom.
Space group P4/mmm (No. 123)
Asymmetric unit:
1 Co 0.0000 0.0000 0.0000 x1  2 Te 2.39
2 Ag 0.5000 0.5000 0.5000 x1  8 I 3.65, 4 Te 3.90
3 Te 0.0000 0.0000 0.5000 x1  2 Co 2.39
4 I 0.0000 0.5000 0.0000 x2  2 Co 2.76